Entry from Alexandria: YSb2TeO after structural relaxation (PBE).

POSCAR file:
```
YSb2TeO
1.0
4.815 0.000 0.000
0.000 4.815 0.000
0.000 0.000 4.929
Y Sb Te O
1 2 1 1
Cartesian
0.000 0.000 0.000
0.000 2.408 2.465
2.408 0.000 2.465
2.408 2.408 0.000
2.408 2.408 2.465
```

Results
As for the total magnetization: 0.0000 μB/atom. The calculation puts the density of states at the Fermi level at 0.55 states/eV/atom. The formation energy without anion corrections is -0.56 eV per atom.